Record 1
A plane-wave DFT calculation with GGA-PBE was carried out for a relaxed structure of Dy2Er2Al3.

Summary:
The calculated total energy is -4.41 eV/atom.

a b c (Å): 6.428 6.428 6.594
angles (deg): 111.15 111.15 45.41
Element x y z (fractional)
Dy  0.042  0.042  0.279
Dy  0.958  0.958  0.721
Er  0.317  0.317  0.202
Er  0.683  0.683  0.798
Al  0.283  0.283  0.665
Al  0.500  0.500  0.000
Al  0.717  0.717  0.335

Record 2
A plane-wave DFT calculation with GGA-PBE was carried out for a relaxed structure of La2GdCd3Ir2Pt.

Summary:
The value obtained for the energy of formation is -0.662 eV per atom.

a b c (Å): 4.080 7.635 7.635
angles (deg): 120.48 90.00 90.00
Element x y z (fractional)
La  0.000  0.206  0.794
La  0.000  0.794  0.206
Gd  0.000  0.618  0.618
Cd  0.500  0.212  0.460
Cd  0.500  0.460  0.212
Cd  0.500  0.954  0.954
Ir  0.500  0.544  0.874
Ir  0.500  0.874  0.544
Pt  0.000  0.213  0.213

Record 3
A plane-wave DFT calculation with GGA-PBE was carried out for a relaxed structure of KCuTePdSe2.

Summary:
The calculated total energy is -3.77 eV/atom.

a b c (Å): 7.858 7.858 10.505
angles (deg): 90.00 90.00 151.67
Element x y z (fractional)
K  0.237  0.763  0.750
K  0.763  0.237  0.250
Cu  0.450  0.550  0.250
Cu  0.550  0.450  0.750
Te  0.065  0.935  0.250
Te  0.935  0.065  0.750
Pd  0.000  0.000  0.000
Pd  0.000  0.000  0.500
Se  0.389  0.611  0.038
Se  0.389  0.611  0.462
Se  0.611  0.389  0.538
Se  0.611  0.389  0.962

Record 4
A plane-wave DFT calculation with GGA-PBE was carried out for a relaxed structure of NaBPdPb.

Summary:
The value obtained for the energy above the most stable polymorph in this dataset is 0.062 eV per atom.

a b c (Å): 4.613 4.613 4.613
angles (deg): 60.00 60.00 60.00
Element x y z (fractional)
Na  0.000  0.000  0.000
B  0.500  0.500  0.500
Pd  0.750  0.750  0.750
Pb  0.250  0.250  0.250

Record 5
A plane-wave DFT calculation with GGA-PBE was carried out for a relaxed structure of Ba2P3Pd.

Summary:
The calculated total energy is -5.12 eV/atom.

a b c (Å): 6.531 7.253 12.975
angles (deg): 90.00 91.50 90.00
Element x y z (fractional)
Ba  0.122  0.245  0.165
Ba  0.122  0.255  0.665
Ba  0.336  0.749  0.561
Ba  0.336  0.751  0.061
Ba  0.664  0.249  0.939
Ba  0.664  0.251  0.439
Ba  0.878  0.745  0.335
Ba  0.878  0.755  0.835
P  0.182  0.109  0.906
P  0.182  0.391  0.406
P  0.186  0.090  0.405
P  0.186  0.410  0.905
P  0.404  0.573  0.807
P  0.404  0.927  0.307
P  0.596  0.073  0.693
P  0.596  0.427  0.193
P  0.814  0.590  0.095
P  0.814  0.910  0.595
P  0.818  0.609  0.594
P  0.818  0.891  0.094
Pd  0.383  0.599  0.307
Pd  0.383  0.901  0.807
Pd  0.617  0.099  0.193
Pd  0.617  0.401  0.693

Record 6
A plane-wave DFT calculation with GGA-PBE was carried out for a relaxed structure of Nb4SiAsN2.

Summary:
The calculated total energy is -9.07 eV/atom.

a b c (Å): 3.278 3.278 12.132
angles (deg): 90.00 90.00 120.00
Element x y z (fractional)
Nb  0.000  0.000  0.154
Nb  0.000  0.000  0.846
Nb  0.667  0.333  0.341
Nb  0.667  0.333  0.659
Si  0.667  0.333  0.000
As  0.000  0.000  0.500
N  0.333  0.667  0.249
N  0.333  0.667  0.751

Please write out number 5 again, unchanged.
A plane-wave DFT calculation with GGA-PBE was carried out for a relaxed structure of Ba2P3Pd.

Summary:
The calculated total energy is -5.12 eV/atom.

a b c (Å): 6.531 7.253 12.975
angles (deg): 90.00 91.50 90.00
Element x y z (fractional)
Ba  0.122  0.245  0.165
Ba  0.122  0.255  0.665
Ba  0.336  0.749  0.561
Ba  0.336  0.751  0.061
Ba  0.664  0.249  0.939
Ba  0.664  0.251  0.439
Ba  0.878  0.745  0.335
Ba  0.878  0.755  0.835
P  0.182  0.109  0.906
P  0.182  0.391  0.406
P  0.186  0.090  0.405
P  0.186  0.410  0.905
P  0.404  0.573  0.807
P  0.404  0.927  0.307
P  0.596  0.073  0.693
P  0.596  0.427  0.193
P  0.814  0.590  0.095
P  0.814  0.910  0.595
P  0.818  0.609  0.594
P  0.818  0.891  0.094
Pd  0.383  0.599  0.307
Pd  0.383  0.901  0.807
Pd  0.617  0.099  0.193
Pd  0.617  0.401  0.693